The following is a DFT calculation (PBE) of a geometry-optimized KPaInI6 structure.

- energy relative to the elements, uncorrected (meV per atom) = -982
- total magnetic moment (μB/cell) = 2.0
- total DFT energy (no corrections) (eV/atom) = -3.50

Geometry as CIF:
```
data_KPaInI6
_cell_length_a 8.5205
_cell_length_b 8.5205
_cell_length_c 14.7577
_cell_angle_alpha 90.00
_cell_angle_beta 90.00
_cell_angle_gamma 120.00
_symmetry_space_group_name_H-M 'P -3 1 c'
_symmetry_Int_Tables_number 163
_symmetry_space_group_name_Hall '-P 3 2c'
loop_
_atom_site_label
_atom_site_type_symbol
_atom_site_fract_x
_atom_site_fract_y
_atom_site_fract_z
K1 K 0.0000 0.0000 0.0000
Pa1 Pa 0.3333 0.6667 0.2500
In1 In 0.3333 0.6667 0.7500
I1 I 0.0369 0.3777 0.1316
```



The following is a DFT calculation (PBE) of a geometry-optimized K2In3PbI6 structure.

- energy relative to the elements, uncorrected (meV per atom) = -701
- total magnetic moment (μB/cell) = 0.0
- total DFT energy (no corrections) (eV/atom) = -2.65

Geometry as CIF:
```
data_K2In3PbI6
_cell_length_a 8.2314
_cell_length_b 14.7783
_cell_length_c 9.1324
_cell_angle_alpha 90.00
_cell_angle_beta 109.82
_cell_angle_gamma 90.00
_symmetry_space_group_name_H-M 'C 1 2/m 1'
_symmetry_Int_Tables_number 12
loop_
_symmetry_equiv_pos_as_xyz
'x,y,z'
'-x,-y,-z'
'-x,y,-z'
'x,-y,z'
'x+1/2,y+1/2,z'
'-x+1/2,-y+1/2,-z'
'-x+1/2,y+1/2,-z'
'x+1/2,-y+1/2,z'
loop_
_atom_site_label
_atom_site_type_symbol
_atom_site_fract_x
_atom_site_fract_y
_atom_site_fract_z
K1 K 0.0000 0.1608 0.0000
In1 In 0.0000 0.0000 0.5000
In2 In 0.0000 0.3285 0.5000
Pb1 Pb 0.0000 0.5000 0.0000
I1 I 0.2332 0.3413 0.2358
I2 I 0.2338 0.5000 0.7377
```



The following is a DFT calculation (PBE) of a geometry-optimized KInPbI6 structure.

- energy relative to the elements, uncorrected (meV per atom) = -741
- total magnetic moment (μB/cell) = 0.0
- total DFT energy (no corrections) (eV/atom) = -2.61

Geometry as CIF:
```
data_KInPbI6
_cell_length_a 8.0483
_cell_length_b 8.0483
_cell_length_c 15.3019
_cell_angle_alpha 90.00
_cell_angle_beta 90.00
_cell_angle_gamma 120.00
_symmetry_space_group_name_H-M 'P -3 1 c'
_symmetry_Int_Tables_number 163
_symmetry_space_group_name_Hall '-P 3 2c'
loop_
_atom_site_label
_atom_site_type_symbol
_atom_site_fract_x
_atom_site_fract_y
_atom_site_fract_z
K1 K 0.0000 0.0000 0.0000
In1 In 0.3333 0.6667 0.2500
Pb1 Pb 0.3333 0.6667 0.7500
I1 I 0.0270 0.3798 0.1350
```



The following is a DFT calculation (PBE) of a geometry-optimized KIn2PbI8 structure.

- energy relative to the elements, uncorrected (meV per atom) = -588
- total magnetic moment (μB/cell) = 0.0
- total DFT energy (no corrections) (eV/atom) = -2.48

Geometry as CIF:
```
data_KIn2PbI8
_cell_length_a 7.6290
_cell_length_b 7.6290
_cell_length_c 34.7807
_cell_angle_alpha 90.00
_cell_angle_beta 90.00
_cell_angle_gamma 120.00
_symmetry_space_group_name_H-M 'R 3 2'
_symmetry_Int_Tables_number 155
_symmetry_space_group_name_Hall 'R 3 2"'
loop_
_atom_site_label
_atom_site_type_symbol
_atom_site_fract_x
_atom_site_fract_y
_atom_site_fract_z
K1 K 0.0000 0.0000 0.0000
In1 In 0.0000 0.0000 0.2534
Pb1 Pb 0.0000 0.0000 0.5000
I1 I 0.0000 0.0000 0.3339
I2 I 0.0120 0.3641 0.7719
```



The following is a DFT calculation (PBE) of a geometry-optimized KIn2PbI5 structure.

- energy relative to the elements, uncorrected (meV per atom) = -720
- total magnetic moment (μB/cell) = 0.0
- total DFT energy (no corrections) (eV/atom) = -2.72

Geometry as CIF:
```
data_KIn2PbI5
_cell_length_a 4.7567
_cell_length_b 20.4058
_cell_length_c 17.8296
_cell_angle_alpha 90.00
_cell_angle_beta 90.00
_cell_angle_gamma 90.00
_symmetry_space_group_name_H-M 'C m c 21'
_symmetry_Int_Tables_number 36
loop_
_symmetry_equiv_pos_as_xyz
'x,y,z'
'-x,-y,z+1/2'
'-x,y,z'
'x,-y,z+1/2'
'x+1/2,y+1/2,z'
'-x+1/2,-y+1/2,z+1/2'
'-x+1/2,y+1/2,z'
'x+1/2,-y+1/2,z+1/2'
loop_
_atom_site_label
_atom_site_type_symbol
_atom_site_fract_x
_atom_site_fract_y
_atom_site_fract_z
K1 K 0.0000 0.0586 0.0000
In1 In 0.0000 0.3598 0.8189
In2 In 0.0000 0.4363 0.2176
Pb1 Pb 0.0000 0.2521 0.6027
I1 I 0.0000 0.0224 0.3316
I2 I 0.0000 0.0964 0.5858
I3 I 0.0000 0.2308 0.9782
I4 I 0.0000 0.2569 0.2324
I5 I 0.0000 0.4109 0.6357
```



The following is a DFT calculation (PBE) of a geometry-optimized K3In3PbI8 structure.

- energy relative to the elements, uncorrected (meV per atom) = -902
- total magnetic moment (μB/cell) = 0.0
- total DFT energy (no corrections) (eV/atom) = -2.74

Geometry as CIF:
```
data_K3In3PbI8
_cell_length_a 9.9567
_cell_length_b 9.9567
_cell_length_c 24.8579
_cell_angle_alpha 90.00
_cell_angle_beta 90.00
_cell_angle_gamma 120.00
_symmetry_space_group_name_H-M 'R -3 m'
_symmetry_Int_Tables_number 166
_symmetry_space_group_name_Hall '-R 3 2"'
loop_
_atom_site_label
_atom_site_type_symbol
_atom_site_fract_x
_atom_site_fract_y
_atom_site_fract_z
K1 K 0.0000 0.5000 0.0000
In1 In 0.0000 0.5000 0.5000
Pb1 Pb 0.0000 0.0000 0.5000
I1 I 0.0000 0.0000 0.2494
I2 I 0.0230 0.5115 0.2434
```



The following is a DFT calculation (PBE) of a geometry-optimized KInPbI4 structure.

- energy relative to the elements, uncorrected (meV per atom) = -748
- total magnetic moment (μB/cell) = 0.0
- total DFT energy (no corrections) (eV/atom) = -2.71

Geometry as CIF:
```
data_KInPbI4
_cell_length_a 6.3253
_cell_length_b 6.3253
_cell_length_c 17.6827
_cell_angle_alpha 90.00
_cell_angle_beta 90.00
_cell_angle_gamma 90.00
_symmetry_space_group_name_H-M 'I 4 m m'
_symmetry_Int_Tables_number 107
_symmetry_space_group_name_Hall 'I 4 -2'
loop_
_atom_site_label
_atom_site_type_symbol
_atom_site_fract_x
_atom_site_fract_y
_atom_site_fract_z
K1 K 0.0000 0.0000 0.0000
In1 In 0.0000 0.0000 0.7318
Pb1 Pb 0.0000 0.0000 0.3695
I1 I 0.0000 0.0000 0.1955
I2 I 0.0000 0.0000 0.5597
I3 I 0.0000 0.5000 0.3834
```



The following is a DFT calculation (PBE) of a geometry-optimized K2InPdI structure.

- energy relative to the elements, uncorrected (meV per atom) = -115
- total magnetic moment (μB/cell) = 0.0
- total DFT energy (no corrections) (eV/atom) = -2.45

Geometry as CIF:
```
data_K2InPdI
_cell_length_a 6.3194
_cell_length_b 6.3194
_cell_length_c 5.2075
_cell_angle_alpha 90.00
_cell_angle_beta 90.00
_cell_angle_gamma 90.00
_symmetry_space_group_name_H-M 'P 4/m m m'
_symmetry_Int_Tables_number 123
_symmetry_space_group_name_Hall '-P 4 2'
loop_
_atom_site_label
_atom_site_type_symbol
_atom_site_fract_x
_atom_site_fract_y
_atom_site_fract_z
K1 K 0.0000 0.5000 0.0000
In1 In 0.0000 0.0000 0.5000
Pd1 Pd 0.5000 0.5000 0.0000
I1 I 0.5000 0.5000 0.5000
```



The following is a DFT calculation (PBE) of a geometry-optimized K2PmInI6 structure.

- energy relative to the elements, uncorrected (meV per atom) = -1249
- total magnetic moment (μB/cell) = 0.0
- total DFT energy (no corrections) (eV/atom) = -3.15

Geometry as CIF:
```
data_K2PmInI6
_cell_length_a 8.6905
_cell_length_b 8.6905
_cell_length_c 22.6484
_cell_angle_alpha 90.00
_cell_angle_beta 90.00
_cell_angle_gamma 120.00
_symmetry_space_group_name_H-M 'R 3'
_symmetry_Int_Tables_number 146
_symmetry_space_group_name_Hall 'R 3'
loop_
_atom_site_label
_atom_site_type_symbol
_atom_site_fract_x
_atom_site_fract_y
_atom_site_fract_z
K1 K 0.0000 0.0000 0.0000
K2 K 0.0000 0.0000 0.4900
Pm1 Pm 0.0000 0.0000 0.7968
In1 In 0.0000 0.0000 0.2892
I1 I 0.0252 0.7276 0.8816
I2 I 0.0591 0.3476 0.3882
```



The following is a DFT calculation (PBE) of a geometry-optimized KPmIn2I6 structure.

- energy relative to the elements, uncorrected (meV per atom) = -1044
- total magnetic moment (μB/cell) = 0.0
- total DFT energy (no corrections) (eV/atom) = -3.11

Geometry as CIF:
```
data_KPmIn2I6
_cell_length_a 8.6428
_cell_length_b 8.6428
_cell_length_c 22.6855
_cell_angle_alpha 90.00
_cell_angle_beta 90.00
_cell_angle_gamma 120.00
_symmetry_space_group_name_H-M 'R 3'
_symmetry_Int_Tables_number 146
_symmetry_space_group_name_Hall 'R 3'
loop_
_atom_site_label
_atom_site_type_symbol
_atom_site_fract_x
_atom_site_fract_y
_atom_site_fract_z
K1 K 0.0000 0.0000 0.0000
Pm1 Pm 0.0000 0.0000 0.4920
In1 In 0.0000 0.0000 0.2979
In2 In 0.0000 0.0000 0.8054
I1 I 0.0140 0.3822 0.2318
I2 I 0.0498 0.6673 0.0720
```